(1)
{
  "formula": "SrSbRh2",
  "functional": "PBE",
  "state": "optimized geometry",
  "lattice_angstrom": [[-1.9508, 3.4334, -1.4433], [-3.6704, -2.0489, 0.0871], [-1.5525, 3.1930, 9.6943]],
  "species": ["Sr", "Sr", "Sb", "Sb", "Rh", "Rh", "Rh", "Rh"],
  "fractional_positions": [[0.5000, 0.0000, 0.1881], [0.0000, 0.5000, 0.8119], [0.5000, 0.0000, 0.6514], [0.0000, 0.5000, 0.3486], [0.5000, 0.0000, 0.8980], [0.0000, 0.5000, 0.1020], [0.0000, 0.0000, 0.5000], [0.5000, 0.5000, 0.5000]],
  "e_tot_ev_per_atom": -5.497,
  "raw_formation_energy_mev_per_atom": -370
}


(2)
{
  "formula": "Li2ThAl",
  "functional": "PBE",
  "state": "optimized geometry",
  "lattice_angstrom": [[-0.4709, 0.6067, 4.7616], [-3.4982, -2.3046, 2.3904], [1.1055, -3.6020, 3.0110]],
  "species": ["Al", "Th", "Li", "Li"],
  "fractional_positions": [[0.5000, 0.5000, 0.5000], [0.0000, 0.0000, 0.0000], [0.2500, 0.2500, 0.2500], [0.7500, 0.7500, 0.7500]],
  "e_tot_ev_per_atom": -3.780
}


(3)
{
  "formula": "Y2HoTlC",
  "functional": "PBE",
  "state": "optimized geometry",
  "lattice_angstrom": [[-2.8155, 2.6801, -2.9870], [-2.9488, -3.8851, -0.7064], [-2.7534, 1.3910, 3.8434]],
  "species": ["Y", "Y", "Ho", "Tl", "C"],
  "fractional_positions": [[0.0000, 0.0000, 0.5000], [0.0000, 0.5000, 0.0000], [0.5000, 0.0000, 0.0000], [0.5000, 0.5000, 0.5000], [0.0000, 0.0000, 0.0000]],
  "e_tot_ev_per_atom": -6.305
}


(4)
{
  "formula": "BiTeC",
  "functional": "PBE",
  "state": "optimized geometry",
  "lattice_angstrom": [[3.9643, -0.1925, -0.0140], [1.4811, 5.7498, -0.0193], [0.9630, -0.0978, 8.4390]],
  "species": ["C", "C", "Te", "Te", "Bi", "Bi"],
  "fractional_positions": [[0.3629, 0.4203, 0.9764], [0.4168, 0.4173, 0.1167], [0.2779, 0.4272, 0.7439], [0.5107, 0.4121, 0.3482], [0.0031, 0.9531, 0.7303], [0.1798, 0.9392, 0.3764]],
  "e_tot_ev_per_atom": -4.710,
  "polymorph_energy_mev_per_atom": 151,
  "raw_formation_energy_mev_per_atom": 706
}


(5)
{
  "formula": "PuICl",
  "functional": "PBE",
  "state": "optimized geometry",
  "lattice_angstrom": [[4.1921, -0.0150, -0.4208], [-2.1272, 3.6283, -0.2488], [0.1290, 0.2963, 15.2630]],
  "species": ["Pu", "Pu", "I", "I", "Cl", "Cl"],
  "fractional_positions": [[0.5411, 0.1146, 0.6558], [0.7883, 0.3287, 0.1170], [0.1335, 0.3884, 0.5219], [0.5291, 0.7219, 0.2510], [0.9275, 0.8239, 0.7514], [0.0688, 0.9526, 0.0215]],
  "e_tot_ev_per_atom": -7.320,
  "polymorph_energy_mev_per_atom": 6,
  "raw_formation_energy_mev_per_atom": -1411
}


(6)
{
  "formula": "Mg12Tl2Sn5",
  "functional": "PBE",
  "state": "optimized geometry",
  "lattice_angstrom": [[-1.5398, -0.0480, -6.1605], [-0.8784, -8.1743, 3.5561], [-8.5603, 4.2906, 2.1062]],
  "species": ["Mg", "Mg", "Mg", "Mg", "Mg", "Mg", "Mg", "Mg", "Mg", "Mg", "Mg", "Mg", "Tl", "Tl", "Sn", "Sn", "Sn", "Sn", "Sn"],
  "fractional_positions": [[0.0985, 0.1971, 0.2889], [0.0503, 0.6153, 0.8934], [0.5650, 0.6153, 0.8934], [0.0904, 0.6825, 0.4021], [0.5921, 0.6825, 0.4021], [0.4922, 0.9845, 0.6527], [0.5078, 0.0155, 0.3473], [0.9096, 0.3175, 0.5979], [0.4079, 0.3175, 0.5979], [0.9497, 0.3847, 0.1066], [0.4350, 0.3847, 0.1066], [0.9015, 0.8029, 0.7111], [0.7484, 0.0000, 0.0000], [0.2516, 0.0000, 0.0000], [0.3173, 0.6347, 0.6480], [0.3473, 0.6946, 0.1490], [0.0000, 0.0000, 0.5000], [0.6527, 0.3054, 0.8510], [0.6827, 0.3653, 0.3520]],
  "e_tot_ev_per_atom": -2.343
}


(7)
{
  "formula": "Sm7Y12Pb",
  "functional": "PBE",
  "state": "optimized geometry",
  "lattice_angstrom": [[8.5465, 1.6788, -1.3096], [-1.7425, 8.5337, -1.3096], [1.1185, 1.6788, 8.5736]],
  "species": ["Sm", "Sm", "Sm", "Sm", "Sm", "Sm", "Sm", "Y", "Y", "Y", "Y", "Y", "Y", "Y", "Y", "Y", "Y", "Y", "Y", "Pb"],
  "fractional_positions": [[0.2198, 0.6219, 0.7645], [0.3781, 0.2355, 0.7802], [0.2355, 0.7802, 0.3781], [0.5000, 0.5000, 0.5000], [0.7645, 0.2198, 0.6219], [0.6219, 0.7645, 0.2198], [0.7802, 0.3781, 0.2355], [0.0070, 0.3365, 0.8879], [0.6635, 0.1121, 0.9930], [0.4628, 0.1220, 0.3421], [0.8780, 0.6579, 0.5372], [0.1121, 0.9930, 0.6635], [0.6579, 0.5372, 0.8780], [0.3421, 0.4628, 0.1220], [0.8879, 0.0070, 0.3365], [0.1220, 0.3421, 0.4628], [0.5372, 0.8780, 0.6579], [0.3365, 0.8879, 0.0070], [0.9930, 0.6635, 0.1121], [0.0000, 0.0000, 0.0000]],
  "e_tot_ev_per_atom": -5.566
}


(8)
{
  "formula": "MgZr2Se",
  "functional": "PBE",
  "state": "optimized geometry",
  "lattice_angstrom": [[-4.6648, 0.9045, 3.5135], [-1.3978, -4.1406, 3.9780], [4.0486, 3.8290, -1.9674]],
  "species": ["Mg", "Se", "Zr", "Zr"],
  "fractional_positions": [[0.4723, 0.4723, 0.0000], [0.2402, 0.7402, 0.5000], [0.0244, 0.0244, 0.0000], [0.7630, 0.2630, 0.5000]],
  "e_tot_ev_per_atom": -5.933,
  "polymorph_energy_mev_per_atom": 85,
  "raw_formation_energy_mev_per_atom": -389
}


(9)
{
  "formula": "Mg6SnMo",
  "functional": "PBE",
  "state": "optimized geometry",
  "lattice_angstrom": [[-2.1426, 0.1151, 5.8441], [-1.4837, -4.5401, -3.9929], [4.0086, -2.6484, 1.5218]],
  "species": ["Mg", "Mg", "Mg", "Mg", "Mg", "Mg", "Sn", "Mo"],
  "fractional_positions": [[0.8327, 0.6707, 0.5000], [0.3293, 0.1673, 0.5000], [0.6536, 0.8197, 0.0000], [0.1803, 0.3464, 0.0000], [0.6664, 0.3336, 0.0000], [0.1768, 0.8232, 0.0000], [0.8304, 0.1696, 0.5000], [0.3305, 0.6695, 0.5000]],
  "e_tot_ev_per_atom": -2.914,
  "polymorph_energy_mev_per_atom": 13
}


(10)
{
  "formula": "Cs3TlPd2I9",
  "functional": "PBE",
  "state": "optimized geometry",
  "lattice_angstrom": [[8.3340, 0.0000, 0.0000], [-4.1670, 7.2174, 0.0000], [0.0000, 0.0000, 10.2091]],
  "species": ["Cs", "Cs", "Cs", "Tl", "Pd", "Pd", "I", "I", "I", "I", "I", "I", "I", "I", "I"],
  "fractional_positions": [[0.3333, 0.6667, 0.6683], [0.0000, 0.0000, 0.0000], [0.6667, 0.3333, 0.3317], [0.0000, 0.0000, 0.5000], [0.3333, 0.6667, 0.1532], [0.6667, 0.3333, 0.8468], [0.8236, 0.1764, 0.6867], [0.8236, 0.6472, 0.6867], [0.3528, 0.1764, 0.6867], [0.6472, 0.8236, 0.3133], [0.1764, 0.3528, 0.3133], [0.1764, 0.8236, 0.3133], [0.5000, 0.0000, 0.0000], [0.0000, 0.5000, 0.0000], [0.5000, 0.5000, 0.0000]],
  "e_tot_ev_per_atom": -2.723,
  "raw_formation_energy_mev_per_atom": -772
}


(11)
{
  "formula": "LaIn2P",
  "functional": "PBE",
  "state": "optimized geometry",
  "lattice_angstrom": [[-8.2183, -1.2638, 0.3584], [-6.6040, -5.0246, 0.6379], [-6.8263, -2.6354, 3.9651]],
  "species": ["In", "In", "La", "P"],
  "fractional_positions": [[0.0144, 0.0144, 0.0144], [0.2577, 0.2577, 0.2577], [0.4800, 0.4800, 0.4800], [0.7478, 0.7478, 0.7478]],
  "e_tot_ev_per_atom": -4.333
}


(12)
{
  "formula": "BaY2Sc",
  "functional": "PBE",
  "state": "optimized geometry",
  "lattice_angstrom": [[-3.3024, 5.1925, 3.3711], [-3.7333, -5.5441, -2.1352], [-0.8481, -1.5328, 3.0550]],
  "species": ["Ba", "Sc", "Y", "Y"],
  "fractional_positions": [[0.5000, 0.0000, 0.5000], [0.0000, 0.5000, 0.5000], [0.0000, 0.0000, 0.0000], [0.5000, 0.5000, 0.0000]],
  "e_tot_ev_per_atom": -4.951,
  "polymorph_energy_mev_per_atom": 192
}


(13)
{
  "formula": "CoRh2I",
  "functional": "PBE",
  "state": "optimized geometry",
  "lattice_angstrom": [[3.8104, 0.0000, 0.0000], [0.0000, 3.8104, 0.0000], [1.9052, 1.9052, 9.1323]],
  "species": ["I", "I", "Co", "Co", "Rh", "Rh", "Rh", "Rh"],
  "fractional_positions": [[0.0000, 0.0000, 0.0000], [0.7500, 0.2500, 0.5000], [0.5000, 0.5000, 0.0000], [0.2500, 0.7500, 0.5000], [0.6047, 0.1250, 0.2500], [0.1453, 0.6250, 0.2500], [0.3750, 0.3953, 0.7500], [0.8750, 0.8547, 0.7500]],
  "e_tot_ev_per_atom": -5.193,
  "polymorph_energy_mev_per_atom": 5,
  "raw_formation_energy_mev_per_atom": 647
}


(14)
{
  "formula": "Tm3Np",
  "functional": "PBE",
  "state": "optimized geometry",
  "lattice_angstrom": [[3.3467, 0.0000, 0.0000], [0.0000, 6.1424, 0.0000], [-1.6733, -3.0712, 5.6045]],
  "species": ["Np", "Tm", "Tm", "Tm"],
  "fractional_positions": [[0.0000, 0.0088, 0.0000], [0.2517, 0.5784, 0.5033], [0.5000, 0.5044, 0.0000], [0.7483, 0.0750, 0.4967]],
  "e_tot_ev_per_atom": -6.310,
  "polymorph_energy_mev_per_atom": 0
}


(15)
{
  "formula": "ScMoBr2",
  "functional": "PBE",
  "state": "optimized geometry",
  "lattice_angstrom": [[5.0968, 0.0000, 0.0000], [2.5484, 4.4139, 0.0000], [2.5484, 1.4713, 4.1615]],
  "species": ["Br", "Br", "Mo", "Sc"],
  "fractional_positions": [[0.0000, 0.0000, 0.0000], [0.7500, 0.7500, 0.7500], [0.5000, 0.5000, 0.5000], [0.2500, 0.2500, 0.2500]],
  "e_tot_ev_per_atom": -4.561,
  "polymorph_energy_mev_per_atom": 925,
  "raw_formation_energy_mev_per_atom": 566
}


(16)
{
  "formula": "Ac6Pr4Tm",
  "functional": "PBE",
  "state": "optimized geometry",
  "lattice_angstrom": [[8.2460, -3.7017, -6.1615], [-5.9124, 8.8491, 2.5299], [-2.1779, 3.7017, 10.0607]],
  "species": ["Ac", "Ac", "Ac", "Ac", "Ac", "Ac", "Pr", "Pr", "Pr", "Pr", "Tm"],
  "fractional_positions": [[0.0759, 0.8949, 0.5094], [0.9241, 0.4335, 0.8190], [0.3855, 0.5665, 0.4906], [0.5000, 0.5000, 0.0000], [0.6145, 0.1051, 0.1810], [0.5000, 0.0000, 0.5000], [0.9148, 0.6200, 0.9922], [0.3722, 0.3800, 0.2949], [0.0852, 0.0773, 0.7051], [0.6278, 0.9227, 0.0078], [0.0000, 0.0000, 0.0000]],
  "e_tot_ev_per_atom": -4.086
}


(17)
{
  "formula": "Tb2ErCd",
  "functional": "PBE",
  "state": "optimized geometry",
  "lattice_angstrom": [[3.5391, 0.0000, 0.0000], [1.7695, 3.0649, 0.0000], [1.7695, 1.0216, 10.9035]],
  "species": ["Tb", "Tb", "Er", "Cd"],
  "fractional_positions": [[0.0872, 0.0872, 0.7383], [0.2459, 0.2459, 0.2624], [0.6670, 0.6670, 0.9991], [0.4999, 0.4999, 0.5002]],
  "e_tot_ev_per_atom": -3.721,
  "polymorph_energy_mev_per_atom": 105
}


(18)
{
  "formula": "Ce4N2O",
  "functional": "PBE",
  "state": "optimized geometry",
  "lattice_angstrom": [[3.4925, 0.0000, 0.5075], [1.7094, 3.0456, 0.5075], [0.0134, 0.0079, 12.1788]],
  "species": ["Ce", "Ce", "Ce", "Ce", "N", "N", "O"],
  "fractional_positions": [[0.1191, 0.1191, 0.6426], [0.2927, 0.2927, 0.1220], [0.7073, 0.7073, 0.8780], [0.8809, 0.8809, 0.3574], [0.4147, 0.4147, 0.7560], [0.5853, 0.5853, 0.2440], [0.0000, 0.0000, 0.0000]],
  "e_tot_ev_per_atom": -8.134,
  "raw_formation_energy_mev_per_atom": -1657
}